Compound: SnTeIr
Source: Alexandria
Functional: GGA-PBE
Structure: relaxed

Properties
- Formation energy without anion corrections: -0.132 eV per atom
- ρ: 10.52 Mg/m³

Lattice parameters (Å, degrees): 4.6083 4.6083 4.6083 60.00 60.00 60.00
Closest atoms and distances in Å follow each position.
Element x y z (fractional)
Ir: 0.2500 0.2500 0.2500  4 Sn 2.82, 4 Te 2.82
Te: 0.0000 0.0000 0.0000  4 Ir 2.82
Sn: 0.5000 0.5000 0.5000  4 Ir 2.82